No. 1
# TiIn2S4, relaxed, DFT GGA-PBE
data_TiIn2S4
_symmetry_space_group_name_H-M 'P 42/m b c'
_symmetry_Int_Tables_number 135
_symmetry_space_group_name_Hall '-P 4c 2ab'
_cell_length_a 9.393
_cell_length_b 9.393
_cell_length_c 7.450
_cell_angle_alpha 90.00
_cell_angle_beta 90.00
_cell_angle_gamma 90.00
loop_
_atom_site_label
_atom_site_fract_x
_atom_site_fract_y
_atom_site_fract_z
Ti1 0.000 0.500 0.250
In1 0.101 0.142 0.000
S1 0.102 0.640 0.000
S2 0.176 0.324 0.250
# energy relative to the elements, uncorrected: -607 meV per atom
# M_tot: 0.0 μB/f.u.
# DOS at the Fermi energy: 0.027 states/eV per atom
# E above lowest polymorph: 0.074 eV per atom
# calculated total energy: -4.876 eV per atom

***

No. 2
# PuGaGe, relaxed, DFT GGA-PBE
data_PuGaGe
_symmetry_space_group_name_H-M 'I -4 m 2'
_symmetry_Int_Tables_number 119
_symmetry_space_group_name_Hall 'I -4 -2'
_cell_length_a 4.165
_cell_length_b 4.165
_cell_length_c 14.825
_cell_angle_alpha 90.00
_cell_angle_beta 90.00
_cell_angle_gamma 90.00
loop_
_atom_site_label
_atom_site_fract_x
_atom_site_fract_y
_atom_site_fract_z
Pu1 0.000 0.000 0.000
Pu2 0.000 0.500 0.250
Ga1 0.000 0.500 0.668
Ge1 0.000 0.000 0.417
# M_tot: 5.6 μB/f.u.
# DOS at the Fermi energy: 3.615 states/eV per atom
# calculated total energy: -7.670 eV per atom
# formation energy: -344 meV/atom

***

No. 3
# SeCl2, relaxed, DFT GGA-PBE
data_SeCl2
_symmetry_space_group_name_H-M 'I 4/m m m'
_symmetry_Int_Tables_number 139
_symmetry_space_group_name_Hall '-I 4 2'
_cell_length_a 5.983
_cell_length_b 5.983
_cell_length_c 8.327
_cell_angle_alpha 90.00
_cell_angle_beta 90.00
_cell_angle_gamma 90.00
loop_
_atom_site_label
_atom_site_fract_x
_atom_site_fract_y
_atom_site_fract_z
Se1 0.000 0.000 0.000
Cl1 0.000 0.000 0.275
# energy relative to the elements, uncorrected: 105 meV per atom
# M_tot: 2.0 μB/f.u.
# calculated total energy: -2.288 eV per atom

***

No. 4
# CsNa2Zn2, relaxed, DFT GGA-PBE
data_CsNa2Zn2
_symmetry_space_group_name_H-M 'P 4/m b m'
_symmetry_Int_Tables_number 127
_symmetry_space_group_name_Hall '-P 4 2ab'
_cell_length_a 9.163
_cell_length_b 9.163
_cell_length_c 4.140
_cell_angle_alpha 90.00
_cell_angle_beta 90.00
_cell_angle_gamma 90.00
loop_
_atom_site_label
_atom_site_fract_x
_atom_site_fract_y
_atom_site_fract_z
Cs1 0.000 0.000 0.000
Na1 0.161 0.339 0.500
Zn1 0.101 0.601 0.000
# M_tot: 0.0 μB/f.u.
# DOS at the Fermi energy: 0.718 states/eV per atom
# E above lowest polymorph: 0.029 eV per atom
# calculated total energy: -1.063 eV per atom
# formation energy: 145 meV/atom

***

No. 5
# KAc2Tl, relaxed, DFT GGA-PBE
data_KAc2Tl
_symmetry_space_group_name_H-M 'R -3 m'
_symmetry_Int_Tables_number 166
_symmetry_space_group_name_Hall '-R 3 2"'
_cell_length_a 4.0509
_cell_length_b 4.0509
_cell_length_c 40.3119
_cell_angle_alpha 90.00
_cell_angle_beta 90.00
_cell_angle_gamma 120.00
loop_
_atom_site_label
_atom_site_fract_x
_atom_site_fract_y
_atom_site_fract_z
K1 0.0000 0.0000 0.0000
Ac1 0.0000 0.0000 0.1039
Tl1 0.0000 0.0000 0.5000
# M_tot: 0.0 μB/f.u.
# DOS at the Fermi energy: 1.299 states/eV per atom
# E above lowest polymorph: 0.053 eV per atom
# calculated total energy: -2.863 eV per atom
# formation energy: 57 meV/atom

***

No. 6
# LiCd4Ag, relaxed, DFT GGA-PBE
data_LiCd4Ag
_symmetry_space_group_name_H-M 'P 1 2/m 1'
_symmetry_Int_Tables_number 10
_cell_length_a 4.981
_cell_length_b 4.935
_cell_length_c 5.427
_cell_angle_alpha 90.00
_cell_angle_beta 116.43
_cell_angle_gamma 90.00
loop_
_symmetry_equiv_pos_as_xyz
'x,y,z'
'-x,-y,-z'
'-x,y,-z'
'x,-y,z'
loop_
_atom_site_label
_atom_site_fract_x
_atom_site_fract_y
_atom_site_fract_z
Li1 0.000 0.000 0.000
Cd1 0.157 0.500 0.317
Cd2 0.339 0.000 0.678
Ag1 0.500 0.500 0.000
# M_tot: 0.0 μB/f.u.
# DOS at the Fermi energy: 0.260 states/eV per atom
# E above lowest polymorph: 0.000 eV per atom
# calculated total energy: -1.521 eV per atom
# formation energy: -116 meV/atom

***

No. 7
# Pm3Ho4Ru4, relaxed, DFT GGA-PBE
data_Pm3Ho4Ru4
_symmetry_space_group_name_H-M 'I m m m'
_symmetry_Int_Tables_number 71
_symmetry_space_group_name_Hall '-I 2 2'
_cell_length_a 3.632
_cell_length_b 8.993
_cell_length_c 16.131
_cell_angle_alpha 90.00
_cell_angle_beta 90.00
_cell_angle_gamma 90.00
loop_
_atom_site_label
_atom_site_fract_x
_atom_site_fract_y
_atom_site_fract_z
Pm1 0.000 0.000 0.000
Pm2 0.000 0.500 0.100
Ho1 0.000 0.311 0.334
Ru1 0.000 0.000 0.253
Ru2 0.000 0.229 0.500
# M_tot: 0.0 μB/f.u.
# DOS at the Fermi energy: 0.582 states/eV per atom
# calculated total energy: -6.593 eV per atom
# formation energy: -260 meV/atom

***

No. 8
# Mg2ZnPt2, relaxed, DFT GGA-PBE
data_Mg2ZnPt2
_symmetry_space_group_name_H-M 'I 4/m m m'
_symmetry_Int_Tables_number 139
_symmetry_space_group_name_Hall '-I 4 2'
_cell_length_a 3.935
_cell_length_b 3.935
_cell_length_c 12.105
_cell_angle_alpha 90.00
_cell_angle_beta 90.00
_cell_angle_gamma 90.00
loop_
_atom_site_label
_atom_site_fract_x
_atom_site_fract_y
_atom_site_fract_z
Mg1 0.000 0.500 0.250
Zn1 0.000 0.000 0.000
Pt1 0.000 0.000 0.394
# M_tot: 0.0 μB/f.u.
# DOS at the Fermi energy: 0.309 states/eV per atom
# calculated total energy: -3.619 eV per atom
# formation energy: -310 meV/atom